Computed, not measured: crystalline CoReOsSeO at its relaxed geometry at the GGA+U level of DFT.

Cell: 4.176 2.797 6.788 Å, 90.00 107.90 90.00°
Each line ends with the local moment (μB).
Fractional coordinates of all 5 atoms:
1 Se 0.926 0.000 0.678  -0.03
2 Re 0.149 0.000 0.125  0.03
3 O 0.263 0.500 0.354  0.02
4 Os 0.551 0.000 0.928  -0.19
5 Co 0.742 0.500 0.311  1.90

Results
Density of states at the Fermi level = 0.52 states/eV/atom
Total DFT energy (no corrections) = -7.39 eV/atom
Volume = 75.45 Å³/cell
Offset from the most stable computed form = 185 meV per atom